An optimized crystal structure of BaSe2Cl, computed with GGA-PBE.

Cell lengths 7.9337, 7.9337, 7.9337 Å; angles 39.30, 39.30, 39.30 degrees
Last column: nearest neighbours and their distance in Å.
Fractional positions:
Se1 0.8872 0.8872 0.8872  1 Cl 2.47
Se2 0.1128 0.1128 0.1128  1 Cl 2.47
Cl1 0.0000 0.0000 0.0000  2 Se 2.47
Ba1 0.5000 0.5000 0.5000  6 Se 3.30

distance to the lowest polymorph of the same formula = 0.572 eV/atom
spin magnetization = 1.0 μB/cell
electronic total energy = -3.465 eV per atom
ΔE_f (raw) = -0.78 eV/atom